Material: Li2CuAg
Method: DFT, GGA-PBEsol
State: optimized geometry

a b c (Å): 2.727 2.727 7.475
angles (deg): 90.00 90.00 90.00
Fractional coordinates of all 4 atoms:
Li  0.000  0.000  0.235
Li  0.000  0.000  0.765
Cu  0.500  0.500  0.000
Ag  0.500  0.500  0.500

Output
D(E_F) = 1.26 states/eV per cell
ΔH_f (0 K) = -1.16 kcal/mol of atoms